(1)
The following is a meta-GGA SCAN calculation of NbAs2CBr at its PBEsol-relaxed geometry, from Alexandria.

Results
D(E_F) ... 0.708 states/eV per atom
ΔE_f (raw) ... 1.223 eV per atom
Raw total energy ... -96.96 eV/cell
Space group ... P4/mmm

Unit cell a=4.2232 b=4.2232 c=4.5131 alpha=90.00 beta=90.00 gamma=90.00
With the nearest neighbours (Å) after each atom.
Positions (direct):
Nb 0.0000 0.0000 0.0000  4 Br 2.99, 8 As 3.09
As 0.0000 0.5000 0.5000  2 C 2.11
As 0.5000 0.0000 0.5000  2 C 2.11
C 0.5000 0.5000 0.5000  4 As 2.11, 2 Br 2.26
Br 0.5000 0.5000 0.0000  2 C 2.26

(2)
The following is a meta-GGA SCAN calculation of AlHgRh at its PBEsol-relaxed geometry, from Alexandria.

Results
D(E_F) ... 0.634 states/eV per atom
Energy of formation ... 179 meV/atom
Raw total energy ... -109.15 eV/cell
Space group ... F-43m

Unit cell a=4.3080 b=4.3080 c=4.3080 alpha=60.00 beta=60.00 gamma=60.00
With the nearest neighbours (Å) after each atom.
Positions (direct):
Al 0.0000 0.0000 0.0000  4 Hg 2.64
Hg 0.2500 0.2500 0.2500  4 Rh 2.64, 4 Al 2.64
Rh 0.5000 0.5000 0.5000  4 Hg 2.64

(3)
The following is a meta-GGA SCAN calculation of Rb3NaTc at its PBEsol-relaxed geometry, from Alexandria.

Results
D(E_F) ... 2.209 states/eV per atom
Energy of formation ... 1039 meV/atom
Raw total energy ... -96.30 eV/cell
Space group ... Pm-3m

Unit cell a=6.6700 b=6.6700 c=6.6700 alpha=90.00 beta=90.00 gamma=90.00
With the nearest neighbours (Å) after each atom.
Positions (direct):
Rb 0.0000 0.0000 0.5000  2 Tc 3.34
Rb 0.0000 0.5000 0.0000  2 Tc 3.34
Rb 0.5000 0.0000 0.0000  2 Tc 3.34
Na 0.5000 0.5000 0.5000  12 Rb 4.72
Tc 0.0000 0.0000 0.0000  6 Rb 3.34

(4)
The following is a meta-GGA SCAN calculation of Ni3IrPt at its PBEsol-relaxed geometry, from Alexandria.

Results
D(E_F) ... 1.170 states/eV per atom
Energy of formation ... 1715 meV/atom
Raw total energy ... -181.24 eV/cell
Space group ... Pm-3m

Unit cell a=4.4053 b=4.4053 c=4.4053 alpha=90.00 beta=90.00 gamma=90.00
With the nearest neighbours (Å) after each atom.
Positions (direct):
Ni 0.0000 0.0000 0.5000  2 Pt 2.20
Ni 0.0000 0.5000 0.0000  2 Pt 2.20
Ni 0.5000 0.0000 0.0000  2 Pt 2.20
Ir 0.5000 0.5000 0.5000  12 Ni 3.12
Pt 0.0000 0.0000 0.0000  6 Ni 2.20

What did the fourth record say?
The following is a meta-GGA SCAN calculation of Ni3IrPt at its PBEsol-relaxed geometry, from Alexandria.

Results
D(E_F) ... 1.170 states/eV per atom
Energy of formation ... 1715 meV/atom
Raw total energy ... -181.24 eV/cell
Space group ... Pm-3m

Unit cell a=4.4053 b=4.4053 c=4.4053 alpha=90.00 beta=90.00 gamma=90.00
With the nearest neighbours (Å) after each atom.
Positions (direct):
Ni 0.0000 0.0000 0.5000  2 Pt 2.20
Ni 0.0000 0.5000 0.0000  2 Pt 2.20
Ni 0.5000 0.0000 0.0000  2 Pt 2.20
Ir 0.5000 0.5000 0.5000  12 Ni 3.12
Pt 0.0000 0.0000 0.0000  6 Ni 2.20